Here is a geometry-optimized Li2ZrMo structure from the Alexandria database. Energies are from PBE.

The structure in POSCAR format:
```
Li2ZrMo
1.0
2.7985 0.0000 0.0000
-1.3993 2.4236 0.0000
0.0000 0.0000 31.8505
Li Zr Mo
6 3 3
direct
0.0000 0.0000 0.2443 Li
0.0000 0.0000 0.7557 Li
0.3333 0.6667 0.4224 Li
0.3333 0.6667 0.9109 Li
0.6667 0.3333 0.0891 Li
0.6667 0.3333 0.5776 Li
0.0000 0.0000 0.0000 Zr
0.3333 0.6667 0.6667 Zr
0.6667 0.3333 0.3333 Zr
0.0000 0.0000 0.5000 Mo
0.3333 0.6667 0.1667 Mo
0.6667 0.3333 0.8333 Mo
```

Values from the calculation:
- N(E_F) (states/eV per cell) = 11.14
- energy relative to the lowest polymorph listed for this composition (meV/atom) = 193
- energy of formation from the pure elements (eV/atom) = 0.417


Here is a geometry-optimized Li3Er2Tl4 structure from the Alexandria database. Energies are from PBE.

The structure in POSCAR format:
```
Li3Er2Tl4
1.0
4.6305 -2.4677 0.0000
4.6305 2.4677 0.0000
-1.9200 0.0000 9.1589
Li Er Tl
3 2 4
direct
0.0000 0.0000 0.0000 Li
0.3793 0.3793 0.4155 Li
0.6207 0.6207 0.5845 Li
0.2896 0.2896 0.7597 Er
0.7104 0.7104 0.2403 Er
0.0719 0.0719 0.3698 Tl
0.3595 0.3595 0.1049 Tl
0.6405 0.6405 0.8951 Tl
0.9281 0.9281 0.6302 Tl
```

Values from the calculation:
- N(E_F) (states/eV per cell) = 3.71
- energy relative to the lowest polymorph listed for this composition (meV/atom) = 0
- energy of formation from the pure elements (eV/atom) = -0.241


Here is a geometry-optimized Er2Ta4N9 structure from the Alexandria database. Energies are from PBE.

The structure in POSCAR format:
```
Er2Ta4N9
1.0
5.4425 0.0000 0.0000
-2.7213 4.7134 0.0000
0.0000 0.0000 14.8059
Er Ta N
4 8 18
direct
0.0000 0.0000 0.1376 Er
0.0000 0.0000 0.3624 Er
0.0000 0.0000 0.6377 Er
0.0000 0.0000 0.8624 Er
0.3333 0.6667 0.1931 Ta
0.3333 0.6667 0.4803 Ta
0.3333 0.6667 0.6931 Ta
0.3333 0.6667 0.9803 Ta
0.6667 0.3333 0.0197 Ta
0.6667 0.3333 0.3069 Ta
0.6667 0.3333 0.5197 Ta
0.6667 0.3333 0.8069 Ta
0.0000 0.3273 0.2500 N
0.0000 0.6727 0.7500 N
0.0206 0.4066 0.5846 N
0.0206 0.6140 0.0846 N
0.3273 0.0000 0.2500 N
0.3273 0.3273 0.7500 N
0.3860 0.4066 0.0846 N
0.3860 0.9794 0.5846 N
0.4066 0.0206 0.9154 N
0.4066 0.3860 0.4154 N
0.5934 0.6140 0.5846 N
0.5934 0.9794 0.0846 N
0.6140 0.0206 0.4154 N
0.6140 0.5934 0.9154 N
0.6727 0.0000 0.7500 N
0.6727 0.6727 0.2500 N
0.9794 0.3860 0.9154 N
0.9794 0.5934 0.4154 N
```

Values from the calculation:
- N(E_F) (states/eV per cell) = 18.34
- formation energy (no corrections) (meV per atom) = -1100


Here is a geometry-optimized RbCa2CeBr8 structure from the Alexandria database. Energies are from PBE.

The structure in POSCAR format:
```
RbCa2CeBr8
1.0
6.8814 0.0000 0.0000
0.0000 9.1880 0.0000
-0.0608 0.0000 7.1902
Rb Ca Ce Br
1 2 1 8
direct
0.0000 0.0000 0.0000 Rb
0.5000 0.2452 0.5000 Ca
0.5000 0.7548 0.5000 Ca
0.0000 0.5000 0.0000 Ce
0.2502 0.2827 0.1707 Br
0.2502 0.7173 0.1707 Br
0.2664 0.5000 0.6672 Br
0.2754 0.0000 0.6268 Br
0.7246 0.0000 0.3732 Br
0.7336 0.5000 0.3328 Br
0.7498 0.2827 0.8293 Br
0.7498 0.7173 0.8293 Br
```

Values from the calculation:
- N(E_F) (states/eV per cell) = 8.06
- formation energy (no corrections) (meV per atom) = -1879


Here is a geometry-optimized Re5Tc4Rh2 structure from the Alexandria database. Energies are from PBE.

The structure in POSCAR format:
```
Re5Tc4Rh2
1.0
6.9905 -1.9544 0.0000
6.9905 1.9544 0.0000
-1.6339 0.0000 5.9250
Re Tc Rh
5 4 2
direct
0.0000 0.0000 0.0000 Re
0.2718 0.2718 0.3569 Re
0.3649 0.3649 0.8156 Re
0.6351 0.6351 0.1844 Re
0.7282 0.7282 0.6431 Re
0.1826 0.1826 0.9078 Tc
0.4522 0.4522 0.2626 Tc
0.5478 0.5478 0.7374 Tc
0.8174 0.8174 0.0922 Tc
0.0917 0.0917 0.4536 Rh
0.9083 0.9083 0.5464 Rh
```

Values from the calculation:
- N(E_F) (states/eV per cell) = 9.75
- energy of formation from the pure elements (eV/atom) = 0.008


Here is a geometry-optimized BaCrP3 structure from the Alexandria database. Energies are from PBE.

The structure in POSCAR format:
```
BaCrP3
1.0
4.6632 0.0000 0.0000
0.0000 4.6632 0.0000
0.0000 0.0000 4.6632
Ba Cr P
1 1 3
direct
0.0000 0.0000 0.0000 Ba
0.5000 0.5000 0.5000 Cr
0.0000 0.5000 0.5000 P
0.5000 0.0000 0.5000 P
0.5000 0.5000 0.0000 P
```

Values from the calculation:
- N(E_F) (states/eV per cell) = 5.19
- energy relative to the lowest polymorph listed for this composition (meV/atom) = 0
- energy of formation from the pure elements (eV/atom) = -0.221


Here is a geometry-optimized SrGe8Os2 structure from the Alexandria database. Energies are from PBE.

The structure in POSCAR format:
```
SrGe8Os2
1.0
6.0702 0.0000 0.0000
0.0000 6.0702 0.0000
0.0000 0.0000 7.4114
Sr Ge Os
1 8 2
direct
0.0000 0.0000 0.0000 Sr
0.2738 0.2738 0.3075 Ge
0.2738 0.2738 0.6925 Ge
0.2738 0.7262 0.3075 Ge
0.2738 0.7262 0.6925 Ge
0.7262 0.2738 0.3075 Ge
0.7262 0.2738 0.6925 Ge
0.7262 0.7262 0.3075 Ge
0.7262 0.7262 0.6925 Ge
0.0000 0.5000 0.5000 Os
0.5000 0.0000 0.5000 Os
```

Values from the calculation:
- N(E_F) (states/eV per cell) = 7.18
- energy of formation from the pure elements (eV/atom) = 0.237


Here is a geometry-optimized MnSbN3 structure from the Alexandria database. Energies are from PBE.

The structure in POSCAR format:
```
MnSbN3
1.0
4.0097 0.0000 0.0000
0.0000 4.0097 0.0000
0.0000 0.0000 4.0097
Mn Sb N
1 1 3
direct
0.0000 0.0000 0.0000 Mn
0.5000 0.5000 0.5000 Sb
0.0000 0.5000 0.5000 N
0.5000 0.0000 0.5000 N
0.5000 0.5000 0.0000 N
```

Values from the calculation:
- N(E_F) (states/eV per cell) = 3.55
- formation energy (no corrections) (meV per atom) = 1461